NbCr2I2: optimized geometry, GGA-PBE.

The space group is P4/mbm (No. 127) and the conventional cell measures 7.629, 7.629 and 3.628 Å, with angles of 90.00, 90.00 and 90.00 degrees. Symmetry generates all atoms from Nb at (0.000, 0.000, 0.000), Cr at (0.145, 0.355, 0.500) and I at (0.161, 0.661, 0.000).

The energy relative to the lowest polymorph listed for this composition is 0 meV/atom. The crystal system is tetragonal. The calculation puts the total moment at 6.9 μB per formula unit. The uncorrected formation energy is 0.8862 eV/atom. The value obtained for the volume is 211.2 Å³ per cell.